## 1
A plane-wave DFT calculation with PBE-GGA was carried out for an optimized crystal structure of Ta2TiAu.

Cell: 4.030 4.030 4.324 Å, 90.00 90.00 90.00°
Sites, in units of the cell vectors:
Ta  0.000  0.500  0.000
Ta  0.500  0.000  0.000
Ti  0.000  0.000  0.500
Au  0.500  0.500  0.500

## Properties
N(E_F)   0.940 states/eV/atom
Space group   No. 123
Magnetic moment   0.00 μB per formula unit

## 2
A plane-wave DFT calculation with PBE-GGA was carried out for an optimized crystal structure of Ta2TiAu.

Cell: 10.415 10.415 10.415 Å, 158.47 158.47 30.63°
Sites, in units of the cell vectors:
Ta  0.118  0.625  0.993
Ta  0.375  0.368  0.493
Ta  0.632  0.125  0.007
Ta  0.875  0.882  0.507
Ti  0.000  0.000  0.000
Ti  0.750  0.250  0.500
Au  0.250  0.750  0.500
Au  0.500  0.500  0.000

## Properties
N(E_F)   1.096 states/eV/atom
Space group   No. 122
Magnetic moment   0.00 μB per formula unit

Energy comparison, zero being the most stable, in kJ/mol of atoms: 1 0.0; 2 44.6.

## 1
A plane-wave DFT calculation with PBE-GGA was carried out for an optimized crystal structure of Ta3TiAu.

Cell: 4.660 4.660 4.660 Å, 90.00 90.00 90.00°
Sites, in units of the cell vectors:
Ta  0.000  0.000  0.500
Ta  0.000  0.500  0.000
Ta  0.500  0.000  0.000
Ti  0.000  0.000  0.000
Au  0.500  0.500  0.500

## Properties
N(E_F)   1.327 states/eV/atom
Space group   No. 221
Magnetic moment   0.00 μB per formula unit

## 2
A plane-wave DFT calculation with PBE-GGA was carried out for an optimized crystal structure of Ta3TiAu.

Cell: 4.931 4.931 4.931 Å, 90.00 90.00 90.00°
Sites, in units of the cell vectors:
Ta  0.000  0.000  0.500
Ta  0.000  0.500  0.000
Ta  0.500  0.000  0.000
Ti  0.500  0.500  0.500
Au  0.000  0.000  0.000

## Properties
N(E_F)   1.573 states/eV/atom
Space group   No. 221
Magnetic moment   1.13 μB per formula unit

Energy comparison, zero being the most stable, in kJ/mol of atoms: 1 0.0; 2 33.6.

## 1
A plane-wave DFT calculation with PBE-GGA was carried out for an optimized crystal structure of TaTl2Au.

Cell: 5.734 5.734 5.734 Å, 136.96 136.96 62.49°
Sites, in units of the cell vectors:
Ta  0.000  0.000  0.000
Tl  0.250  0.750  0.500
Tl  0.750  0.250  0.500
Au  0.500  0.500  0.000

## Properties
N(E_F)   1.070 states/eV/atom
Space group   No. 139
Magnetic moment   0.00 μB per formula unit

## 2
A plane-wave DFT calculation with PBE-GGA was carried out for an optimized crystal structure of TaTl2Au.

Cell: 3.102 4.765 5.855 Å, 90.00 93.18 90.00°
Sites, in units of the cell vectors:
Ta  0.000  0.000  0.000
Tl  0.308  0.500  0.755
Tl  0.692  0.500  0.245
Au  0.500  0.000  0.500

## Properties
N(E_F)   0.788 states/eV/atom
Space group   No. 10
Magnetic moment   0.00 μB per formula unit

## 3
A plane-wave DFT calculation with PBE-GGA was carried out for an optimized crystal structure of TaTl2Au.

Cell: 3.033 5.357 5.452 Å, 90.00 90.00 90.00°
Sites, in units of the cell vectors:
Ta  0.000  0.000  0.000
Tl  0.000  0.500  0.500
Tl  0.500  0.500  0.000
Au  0.500  0.000  0.500

## Properties
N(E_F)   0.648 states/eV/atom
Space group   No. 47
Magnetic moment   0.18 μB per formula unit

## 4
A plane-wave DFT calculation with PBE-GGA was carried out for an optimized crystal structure of TaTl2Au.

Cell: 9.959 9.959 9.959 Å, 18.35 18.35 18.35°
Sites, in units of the cell vectors:
Ta  0.000  0.000  0.000
Tl  0.250  0.250  0.250
Tl  0.750  0.750  0.750
Au  0.500  0.500  0.500

## Properties
N(E_F)   0.903 states/eV/atom
Space group   No. 166
Magnetic moment   0.00 μB per formula unit

Energy comparison, zero being the most stable, in kJ/mol of atoms: 1 15.7; 2 7.2; 3 3.7; 4 0.0.

## 1
A plane-wave DFT calculation with PBE-GGA was carried out for an optimized crystal structure of TaTl2Au.

Cell: 5.014 5.014 5.014 Å, 60.00 60.00 60.00°
Sites, in units of the cell vectors:
Ta  0.000  0.000  0.000
Tl  0.250  0.250  0.250
Tl  0.500  0.500  0.500
Au  0.750  0.750  0.750

## Properties
N(E_F)   1.098 states/eV/atom
Space group   No. 216
Magnetic moment   1.87 μB per formula unit

## 2
A plane-wave DFT calculation with PBE-GGA was carried out for an optimized crystal structure of TaTl2Au.

Cell: 3.058 3.058 9.088 Å, 90.00 90.00 90.00°
Sites, in units of the cell vectors:
Ta  0.000  0.000  0.000
Tl  0.500  0.500  0.248
Tl  0.500  0.500  0.752
Au  0.000  0.000  0.500

## Properties
N(E_F)   0.468 states/eV/atom
Space group   No. 123
Magnetic moment   0.00 μB per formula unit

Energy comparison, zero being the most stable, in kJ/mol of atoms: 1 23.0; 2 0.0.

## 1
A plane-wave DFT calculation with PBE-GGA was carried out for an optimized crystal structure of TaTl2Au.

Cell: 6.005 6.005 6.005 Å, 150.13 125.72 63.19°
Sites, in units of the cell vectors:
Ta  0.000  0.000  0.000
Tl  0.253  0.753  0.500
Tl  0.747  0.247  0.500
Au  0.500  0.500  0.000

## Properties
N(E_F)   0.757 states/eV/atom
Space group   No. 71
Magnetic moment   0.00 μB per formula unit

## 2
A plane-wave DFT calculation with PBE-GGA was carried out for an optimized crystal structure of TaTl2Au.

Cell: 3.344 4.629 6.002 Å, 90.00 105.81 90.00°
Sites, in units of the cell vectors:
Ta  0.000  0.000  0.000
Tl  0.261  0.000  0.525
Tl  0.584  0.500  0.177
Au  0.862  0.500  0.731

## Properties
N(E_F)   0.684 states/eV/atom
Space group   No. 6
Magnetic moment   0.00 μB per formula unit

Energy comparison, zero being the most stable, in kJ/mol of atoms: 1 12.4; 2 0.0.

## 1
A plane-wave DFT calculation with PBE-GGA was carried out for an optimized crystal structure of TaV2Au.

Cell: 3.226 3.226 6.089 Å, 90.00 90.00 90.00°
Sites, in units of the cell vectors:
Ta  0.000  0.000  0.000
V  0.500  0.500  0.233
V  0.500  0.500  0.767
Au  0.000  0.000  0.500

## Properties
N(E_F)   1.151 states/eV/atom
Space group   No. 123
Magnetic moment   0.00 μB per formula unit

## 2
A plane-wave DFT calculation with PBE-GGA was carried out for an optimized crystal structure of TaV2Au.

Cell: 5.718 5.718 5.718 Å, 102.69 102.69 124.09°
Sites, in units of the cell vectors:
Ta  0.000  0.000  0.000
Ta  0.750  0.250  0.500
V  0.129  0.125  0.504
V  0.375  0.871  0.996
V  0.621  0.625  0.496
V  0.875  0.379  0.004
Au  0.250  0.750  0.500
Au  0.500  0.500  0.000

## Properties
N(E_F)   1.162 states/eV/atom
Space group   No. 122
Magnetic moment   0.00 μB per formula unit

## 3
A plane-wave DFT calculation with PBE-GGA was carried out for an optimized crystal structure of TaV2Au.

Cell: 4.454 4.454 4.454 Å, 60.00 60.00 60.00°
Sites, in units of the cell vectors:
Ta  0.000  0.000  0.000
V  0.250  0.250  0.250
V  0.750  0.750  0.750
Au  0.500  0.500  0.500

## Properties
N(E_F)   1.452 states/eV/atom
Space group   No. 225
Magnetic moment   0.00 μB per formula unit

Energy comparison, zero being the most stable, in kJ/mol of atoms: 1 0.0; 2 57.0; 3 10.6.